1.
DFT (PBE) results for Nd5As4S after structural relaxation.

Results
For the calculated total energy, the calculation gives -6.3031 eV/atom. The space group is I4/m. The theoretical density comes out at 6.50 g/cm3. The density of states at the Fermi level is 2.2 states/eV/f.u.

Cell: 5.9941 7.3386 7.3386 Å, 80.40 65.90 65.90°
Closest atoms and distances in Å follow each position.
Element x y z (fractional)
Nd1 0.9007 0.3998 0.8008  1 S 2.99, 5 As 2.99-3.01
Nd2 0.1013 0.6002 0.1992  1 S 2.99, 5 As 2.99-3.01
Nd3 0.3005 0.8008 0.6002  1 S 2.99, 5 As 2.99-3.01
As1 0.6001 0.6019 0.2000  6 Nd 2.98-3.01
Nd4 0.7016 0.1992 0.3998  1 S 2.99, 5 As 2.99-3.01
As2 0.8001 0.8000 0.6019  6 Nd 2.98-3.01
As3 0.4020 0.3981 0.8000  6 Nd 2.98-3.01
S1 0.0010 0.0000 0.0000  6 Nd 2.99-3.00
Nd5 0.5010 0.0000 0.0000  4 As 2.98, 2 S 3.00
As4 0.2020 0.2000 0.3981  6 Nd 2.98-3.01



2.
DFT (PBE) results for B5C after structural relaxation.

Results
The space group is P2/c. As for the formation energy: 0.4763 eV/atom. The theoretical density comes out at 2.17 g/cm3. The density of states at the Fermi level is 1.0 states/eV/f.u.

Cell: 6.0919 6.4831 4.0984 Å, 90.00 90.00 141.44°
Closest atoms and distances in Å follow each position.
Element x y z (fractional)
B1 0.7938 0.0691 0.4314  1 C 1.56, 1 B 1.68
B2 0.7938 0.5691 0.3186  1 C 1.56, 1 B 1.68
B3 0.5395 0.5976 0.4314  1 C 1.56, 1 B 1.68
C1 0.6667 0.3333 0.0356  4 B 1.54-1.56
B4 0.1667 0.3333 0.2122  4 B 1.68-1.69
B5 0.3218 0.5971 0.9082  1 C 1.54, 1 B 1.69
B6 0.5395 0.0976 0.3186  1 C 1.56, 1 B 1.68
B7 0.1667 0.8333 0.5378  4 B 1.68-1.69
B8 0.3218 0.0971 0.8418  1 C 1.54, 1 B 1.69
B9 0.0115 0.5696 0.8418  1 C 1.54, 1 B 1.69
B10 0.0115 0.0696 0.9082  1 C 1.54, 1 B 1.69
C2 0.6667 0.8333 0.7144  4 B 1.54-1.56



3.
DFT (PBE) results for MgTcB4 after structural relaxation.

Results
The space group is Immm. As for the formation energy: -0.2426 eV/atom. The theoretical density comes out at 5.22 g/cm3. The density of states at the Fermi level is 1.7 states/eV/f.u.

Cell: 3.0100 4.5049 4.5049 Å, 71.14 70.47 70.47°
Closest atoms and distances in Å follow each position.
Element x y z (fractional)
B1 0.2454 0.4153 0.0932  3 B 1.69-1.77
Tc1 0.0000 0.0000 0.0000  12 B 2.42
B2 0.2454 0.0932 0.4153  3 B 1.69-1.77
Mg1 0.5000 0.5000 0.5000  12 B 2.38-2.46
B3 0.7546 0.5847 0.9068  3 B 1.69-1.77
B4 0.7546 0.9068 0.5847  3 B 1.69-1.77



4.
DFT (PBE) results for CrNiAu3 after structural relaxation.

Results
The space group is Pm-3m. As for the formation energy: 0.7590 eV/atom. The theoretical density comes out at 10.91 g/cm3. The density of states at the Fermi level is 4.3 states/eV/f.u.

Cell: 4.7449 4.7449 4.7449 Å, 90.00 90.00 90.00°
Closest atoms and distances in Å follow each position.
Element x y z (fractional)
Au1 0.0000 0.5000 0.0000  2 Ni 2.37
Cr1 0.5000 0.5000 0.5000  12 Au 3.36
Au2 0.5000 0.0000 0.0000  2 Ni 2.37
Ni1 0.0000 0.0000 0.0000  6 Au 2.37
Au3 0.0000 0.0000 0.5000  2 Ni 2.37



5.
DFT (PBE) results for Ca6AsBr3N2 after structural relaxation.

Results
For the calculated total energy, the calculation gives -4.6113 eV/atom. The space group is C2/m. The theoretical density comes out at 3.44 g/cm3. The density of states at the Fermi level is 0.0 states/eV/f.u.

Cell: 6.7773 6.7773 7.4167 Å, 98.76 98.76 119.98°
Closest atoms and distances in Å follow each position.
Element x y z (fractional)
Ca1 0.4328 0.0613 0.1843  2 N 2.51
Ca2 0.9387 0.5672 0.8157  2 N 2.51
Br1 0.1642 0.8358 0.5000  6 Ca 3.01-3.28
N1 0.6666 0.3334 0.0000  6 Ca 2.50-2.51
As1 0.0000 0.0000 0.0000  6 Ca 2.83
Ca3 0.6900 0.6900 0.1837  2 N 2.50
Br2 0.8358 0.1642 0.5000  6 Ca 3.01-3.28
Ca4 0.5672 0.9387 0.8157  2 N 2.51
Br3 0.5000 0.5000 0.5000  6 Ca 3.00-3.28
Ca5 0.3100 0.3100 0.8163  2 N 2.50
Ca6 0.0613 0.4328 0.1843  2 N 2.51
N2 0.3334 0.6666 0.0000  6 Ca 2.50-2.51



6.
DFT (PBE) results for SmPaSi2 after structural relaxation.

Results
For the calculated total energy, the calculation gives -6.7337 eV/atom. The space group is R-3m. The theoretical density comes out at 7.19 g/cm3. The density of states at the Fermi level is 2.5 states/eV/f.u.

Cell: 4.1561 4.1561 7.1668 Å, 73.14 73.14 60.00°
Closest atoms and distances in Å follow each position.
Element x y z (fractional)
Si1 0.7554 0.7554 0.7337  3 Pa 2.87, 3 Sm 3.00
Pa1 0.5000 0.5000 0.5000  6 Si 2.87
Sm1 0.0000 0.0000 0.0000  6 Si 3.00
Si2 0.2446 0.2446 0.2663  3 Pa 2.87, 3 Sm 3.00



7.
DFT (PBE) results for Pa3Co3B8 after structural relaxation.

Results
The space group is Immm. As for the formation energy: -0.2731 eV/atom. The theoretical density comes out at 9.99 g/cm3. The density of states at the Fermi level is 10.7 states/eV/f.u.

Cell: 3.2337 7.8292 7.8292 Å, 55.59 78.08 78.08°
Closest atoms and distances in Å follow each position.
Element x y z (fractional)
B1 0.3681 0.3782 0.8857  2 B 1.83
Co1 0.0000 0.7764 0.2236  6 B 2.15-2.41, 2 Co 2.30
B2 0.6319 0.6218 0.1143  2 B 1.83
Pa1 0.2148 0.7852 0.7852  12 B 2.66-2.82
B3 0.8588 0.5025 0.7799  3 B 1.83-2.03
Co2 0.0000 0.2236 0.7764  6 B 2.15-2.41, 2 Co 2.30
Co3 0.5000 0.0000 0.0000  4 Co 2.30, 4 B 2.53
B4 0.3681 0.8857 0.3782  2 B 1.83
B5 0.6319 0.1143 0.6218  2 B 1.83
Pa2 0.5000 0.5000 0.5000  12 B 2.57-2.69, 4 Co 2.59
B6 0.1412 0.2201 0.4975  3 B 1.83-2.03
B7 0.1412 0.4975 0.2201  3 B 1.83-2.03
B8 0.8588 0.7799 0.5025  3 B 1.83-2.03
Pa3 0.7852 0.2148 0.2148  12 B 2.66-2.82



8.
DFT (PBE) results for GaGeS2N after structural relaxation.

Results
For the calculated total energy, the calculation gives -4.2399 eV/atom. The space group is P4/mmm. The theoretical density comes out at 4.06 g/cm3. The density of states at the Fermi level is 1.9 states/eV/f.u.

Cell: 4.8829 4.8829 3.7786 Å, 90.00 90.00 90.00°
Closest atoms and distances in Å follow each position.
Element x y z (fractional)
Ge1 0.5000 0.5000 0.5000  8 S 3.09, 4 N 3.45
S1 0.5000 0.0000 0.0000  2 Ga 2.44
N1 0.0000 0.0000 0.5000  2 Ga 1.89
S2 0.0000 0.5000 0.0000  2 Ga 2.44
Ga1 0.0000 0.0000 0.0000  2 N 1.89



9.
DFT (PBE) results for CsTaIn2Br8 after structural relaxation.

Results
For the calculated total energy, the calculation gives -3.6065 eV/atom. The space group is P-1. The theoretical density comes out at 4.03 g/cm3.

Cell: 6.7079 8.1193 9.9211 Å, 89.96 90.14 115.65°
Closest atoms and distances in Å follow each position.
Element x y z (fractional)
Br1 0.4133 0.1895 0.0014  1 Ta 2.52
In1 0.4987 0.5008 0.2696  2 Br 3.00-3.01
Br2 0.0325 0.7883 0.1809  1 Ta 2.56
Ta1 0.0000 0.0000 0.0000  6 Br 2.52-2.56
Br3 0.9675 0.2117 0.8191  1 Ta 2.56
In2 0.5013 0.4992 0.7304  2 Br 3.00-3.01
Br4 0.5867 0.8105 0.9986  1 Ta 2.52
Br5 0.9654 0.2110 0.1803  1 Ta 2.56
Br6 0.4064 0.6965 0.5009  2 In 3.00-3.01
Cs1 0.0000 0.0000 0.5000  6 Br 3.66-3.67
Br7 0.5936 0.3035 0.4991  2 In 3.00-3.01
Br8 0.0346 0.7890 0.8197  1 Ta 2.56



10.
DFT (PBE) results for CuSbH2 after structural relaxation.

Results
For the calculated total energy, the calculation gives -3.3661 eV/atom. The space group is I-42d. The theoretical density comes out at 6.15 g/cm3. The density of states at the Fermi level is 0.6 states/eV/f.u.

Cell: 5.8223 5.8223 5.0841 Å, 55.07 55.07 90.00°
Closest atoms and distances in Å follow each position.
Element x y z (fractional)
Sb1 0.7500 0.2500 0.5000  4 H 2.67, 2 Cu 2.98
Cu1 0.5000 0.5000 0.0000  4 H 1.64
H1 0.8750 0.6314 0.7500  2 Cu 1.64
Sb2 0.0000 0.0000 0.0000  4 H 2.67, 2 Cu 2.98
H2 0.3814 0.1250 0.2500  2 Cu 1.64
H3 0.3750 0.6186 0.7500  2 Cu 1.64
Cu2 0.2500 0.7500 0.5000  4 H 1.64
H4 0.3686 0.6250 0.2500  2 Cu 1.64